Entry 1:
## CaLa (PBE)

Data for CaLa after structural relaxation.

Lattice parameters (Å, degrees): 5.2272 5.2272 5.7346 90.00 90.00 90.00
Closest atoms and distances in Å follow each position.
Fractional coordinates of all 4 atoms:
Ca  0.7500  0.7500  0.5001  4 Ca 3.70, 8 La 3.88
Ca  0.2500  0.2500  0.4999  4 Ca 3.70, 8 La 3.88
La  0.2500  0.7500  0.0000  4 La 3.70, 8 Ca 3.88
La  0.7500  0.2500  0.0000  4 La 3.70, 8 Ca 3.88

## Properties
DOS(E_F), states/eV per cell: 6.40
Space group: P4/mmm
Energy above the lowest structure with this stoichiometry, kJ/mol of formula units: 17
Formation enthalpy at 0 K, eV per atom: 0.108


Entry 2:
## CaLa (PBE)

Data for CaLa after structural relaxation.

Lattice parameters (Å, degrees): 7.4832 7.4832 5.9029 90.00 90.00 151.79
Closest atoms and distances in Å follow each position.
Fractional coordinates of all 4 atoms:
La  0.6877  0.3123  0.7500  5 Ca 3.60-3.91, 6 La 3.65-3.91
La  0.3123  0.6877  0.2500  5 Ca 3.60-3.91, 6 La 3.65-3.91
Ca  0.9358  0.0642  0.7500  4 Ca 3.49-3.65, 5 La 3.60-3.91
Ca  0.0642  0.9358  0.2500  4 Ca 3.49-3.65, 5 La 3.60-3.91

## Properties
DOS(E_F), states/eV per cell: 6.91
Space group: Cmcm
Energy above the lowest structure with this stoichiometry, kJ/mol of formula units: 13
Formation enthalpy at 0 K, eV per atom: 0.087


Entry 3:
## Ca3La (PBE)

Data for Ca3La after structural relaxation.

Lattice parameters (Å, degrees): 6.7342 6.7342 6.7342 90.00 90.00 90.00
Closest atoms and distances in Å follow each position.
Fractional coordinates of all 4 atoms:
La  0.0000  0.0000  0.0000  6 Ca 3.37
Ca  0.0000  0.0000  0.5000  2 La 3.37
Ca  0.5000  0.0000  0.0000  2 La 3.37
Ca  0.0000  0.5000  0.0000  2 La 3.37

## Properties
DOS(E_F), states/eV per cell: 1.52
Space group: Pm-3m
Energy above the lowest structure with this stoichiometry, kJ/mol of formula units: 427
Formation enthalpy at 0 K, eV per atom: 1.119


Entry 4:
## CaLa8 (PBE)

Data for CaLa8 after structural relaxation.

Lattice parameters (Å, degrees): 5.3216 8.3703 8.3703 84.20 71.47 71.47
Closest atoms and distances in Å follow each position.
Fractional coordinates of all 9 atoms:
La  0.3260  0.0000  0.3481  10 La 3.59-3.91, 2 Ca 3.84
La  0.6740  0.6519  0.0000  10 La 3.59-3.91, 2 Ca 3.84
La  0.6740  0.0000  0.6519  10 La 3.59-3.91, 2 Ca 3.84
La  0.0000  0.6640  0.3360  11 La 3.66-3.77, 1 Ca 3.77
La  0.3360  0.6640  0.6640  11 La 3.66-3.77, 1 Ca 3.77
La  0.0000  0.3360  0.6640  11 La 3.66-3.77, 1 Ca 3.77
La  0.3260  0.3481  0.0000  10 La 3.59-3.91, 2 Ca 3.84
La  0.6640  0.3360  0.3360  11 La 3.66-3.77, 1 Ca 3.77
Ca  0.0000  0.0000  0.0000  12 La 3.77-3.84

## Properties
DOS(E_F), states/eV per cell: 15.67
Space group: I4/mmm
Energy above the lowest structure with this stoichiometry, kJ/mol of formula units: 0
Formation enthalpy at 0 K, eV per atom: 0.021


Number 1: calculated density 3.8 g/cm³. Number 2: calculated density 3.8 g/cm³. Number 3: calculated density 1.4 g/cm³. Number 4: calculated density 5.7 g/cm³.